Record 1
NaPm2Th | GGA-PBE | optimized geometry

Values from the calculation:
As for the calculated formation energy: 0.08 eV/atom. The calculation puts the energy above the most stable polymorph in this dataset at 0.000 eV per atom. As for the final energy: -0.16473 Ha/atom. Its crystal system is tetragonal.

a b c (Å): 3.616 3.616 10.615
angles (deg): 90.00 90.00 90.00
Fractional coordinates of all 4 atoms:
Na (0.000, 0.000, 0.000)
Pm (0.500, 0.500, 0.274)
Pm (0.500, 0.500, 0.726)
Th (0.000, 0.000, 0.500)

Record 2
Rb2LaAs | GGA-PBE | optimized geometry

Values from the calculation:
As for the calculated formation energy: -0.14 eV/atom. As for the final energy: -0.11098 Ha/atom. Its crystal system is tetragonal.

a b c (Å): 9.471 9.471 9.471
angles (deg): 95.36 95.36 144.41
Fractional coordinates of all 8 atoms:
Rb (0.375, 0.238, 0.363)
Rb (0.762, 0.125, 0.137)
Rb (0.875, 0.012, 0.637)
Rb (0.988, 0.625, 0.863)
La (0.250, 0.750, 0.500)
La (0.500, 0.500, 0.000)
As (0.000, 0.000, 0.000)
As (0.750, 0.250, 0.500)

Record 3
BeTcSe | GGA-PBE | optimized geometry

Values from the calculation:
The calculation puts the energy above the most stable polymorph in this dataset at 0.467 eV per atom. As for the final energy: -0.19665 Ha/atom. Its crystal system is trigonal. Its uncorrected formation energy is 0.51 eV per atom.

a b c (Å): 3.988 3.988 3.091
angles (deg): 90.00 90.00 120.00
Fractional coordinates of all 3 atoms:
Be (0.000, 0.000, 0.000)
Tc (0.333, 0.667, 0.201)
Se (0.667, 0.333, 0.770)

Record 4
CsScCr3 | GGA-PBE | optimized geometry

Values from the calculation:
As for the calculated formation energy: 2.32 eV/atom. As for the final energy: -0.17975 Ha/atom. Its crystal system is cubic.

a b c (Å): 5.031 5.031 5.031
angles (deg): 90.00 90.00 90.00
Fractional coordinates of all 5 atoms:
Cs (0.000, 0.000, 0.000)
Sc (0.500, 0.500, 0.500)
Cr (0.000, 0.000, 0.500)
Cr (0.000, 0.500, 0.000)
Cr (0.500, 0.000, 0.000)

Record 5
Er12Si5Sn | GGA-PBE | optimized geometry

Values from the calculation:
As for the final energy: -0.19711 Ha/atom. Its crystal system is orthorhombic. Its uncorrected formation energy is -0.59 eV per atom.

a b c (Å): 8.357 8.357 8.357
angles (deg): 111.78 111.54 105.18
Fractional coordinates of all 18 atoms:
Er (0.036, 0.234, 0.802)
Er (0.181, 0.270, 0.451)
Er (0.181, 0.730, 0.910)
Er (0.321, 0.024, 0.703)
Er (0.321, 0.617, 0.297)
Er (0.432, 0.234, 0.198)
Er (0.568, 0.766, 0.802)
Er (0.679, 0.383, 0.703)
Er (0.679, 0.976, 0.297)
Er (0.819, 0.270, 0.090)
Er (0.819, 0.730, 0.549)
Er (0.964, 0.766, 0.198)
Si (0.000, 0.000, 0.000)
Si (0.117, 0.617, 0.500)
Si (0.370, 0.000, 0.370)
Si (0.630, 0.000, 0.630)
Si (0.883, 0.383, 0.500)
Sn (0.500, 0.500, 0.000)

Record 6
Li3AlO3 | GGA-PBE | optimized geometry

Values from the calculation:
The calculation puts the energy above the most stable polymorph in this dataset at 0.000 eV per atom. As for the final energy: -0.20964 Ha/atom. Its crystal system is monoclinic. Its uncorrected formation energy is -2.22 eV per atom.

a b c (Å): 5.544 5.544 5.345
angles (deg): 92.51 92.51 117.81
Fractional coordinates of all 14 atoms:
Li (0.221, 0.779, 0.000)
Li (0.269, 0.731, 0.500)
Li (0.383, 0.383, 0.144)
Li (0.617, 0.617, 0.856)
Li (0.731, 0.269, 0.500)
Li (0.779, 0.221, 0.000)
Al (0.187, 0.187, 0.648)
Al (0.813, 0.813, 0.352)
O (0.120, 0.120, 0.310)
O (0.186, 0.483, 0.767)
O (0.483, 0.186, 0.767)
O (0.517, 0.814, 0.233)
O (0.814, 0.517, 0.233)
O (0.880, 0.880, 0.690)

Record 7
CaCO3 | GGA-PBE | optimized geometry

Values from the calculation:
As for the final energy: -0.27429 Ha/atom. Its crystal system is orthorhombic. Its uncorrected formation energy is -2.24 eV per atom.

a b c (Å): 5.810 5.015 8.034
angles (deg): 90.00 90.00 90.00
Fractional coordinates of all 20 atoms:
Ca (0.241, 0.250, 0.085)
Ca (0.259, 0.750, 0.585)
Ca (0.741, 0.250, 0.415)
Ca (0.759, 0.750, 0.915)
C (0.083, 0.250, 0.738)
C (0.417, 0.750, 0.238)
C (0.583, 0.250, 0.762)
C (0.917, 0.750, 0.262)
O (0.086, 0.026, 0.820)
O (0.086, 0.474, 0.820)
O (0.093, 0.250, 0.577)
O (0.407, 0.750, 0.077)
O (0.414, 0.526, 0.320)
O (0.414, 0.974, 0.320)
O (0.586, 0.026, 0.680)
O (0.586, 0.474, 0.680)
O (0.593, 0.250, 0.923)
O (0.907, 0.750, 0.423)
O (0.914, 0.526, 0.180)
O (0.914, 0.974, 0.180)

Record 8
KYNbIr2 | GGA-PBE | optimized geometry

Values from the calculation:
As for the calculated formation energy: 1.72 eV/atom. As for the final energy: -0.19667 Ha/atom. Its crystal system is tetragonal.

a b c (Å): 5.145 5.145 5.097
angles (deg): 90.00 90.00 90.00
Fractional coordinates of all 5 atoms:
K (0.000, 0.000, 0.000)
Y (0.500, 0.500, 0.500)
Nb (0.500, 0.500, 0.000)
Ir (0.000, 0.500, 0.500)
Ir (0.500, 0.000, 0.500)

Record 9
Na2ErTe4As | GGA-PBE | optimized geometry

Values from the calculation:
As for the final energy: -0.14187 Ha/atom. Its crystal system is monoclinic. Its uncorrected formation energy is -0.81 eV per atom.

a b c (Å): 7.540 4.317 7.926
angles (deg): 90.00 108.20 90.00
Fractional coordinates of all 8 atoms:
Na (0.000, 0.000, 0.000)
Na (0.500, 0.500, 0.000)
Er (0.000, 0.500, 0.500)
Te (0.253, 0.000, 0.724)
Te (0.272, 0.500, 0.283)
Te (0.728, 0.500, 0.717)
Te (0.747, 0.000, 0.276)
As (0.500, 0.000, 0.500)

Record 10
Th2CdOs2 | GGA-PBE | optimized geometry

Values from the calculation:
As for the calculated formation energy: -0.19 eV/atom. As for the final energy: -0.28796 Ha/atom. Its crystal system is orthorhombic.

a b c (Å): 5.676 5.676 5.676
angles (deg): 132.22 116.41 83.30
Fractional coordinates of all 5 atoms:
Th (0.209, 0.209, 0.000)
Th (0.791, 0.791, 0.000)
Cd (0.500, 0.000, 0.500)
Os (0.209, 0.500, 0.709)
Os (0.791, 0.500, 0.291)

Record 11
BeCdOs | GGA-PBE | optimized geometry

Values from the calculation:
As for the calculated formation energy: 0.64 eV/atom. The calculation puts the energy above the most stable polymorph in this dataset at 0.365 eV per atom. As for the final energy: -0.17107 Ha/atom. Its crystal system is cubic.

a b c (Å): 3.993 3.993 3.993
angles (deg): 60.00 60.00 60.00
Fractional coordinates of all 3 atoms:
Be (0.000, 0.000, 0.000)
Cd (0.250, 0.250, 0.250)
Os (0.750, 0.750, 0.750)

Record 12
Hf3Zr2Ni2 | GGA-PBE | optimized geometry

Values from the calculation:
As for the calculated formation energy: -0.28 eV/atom. As for the final energy: -0.31737 Ha/atom. Its crystal system is monoclinic.

a b c (Å): 5.803 5.803 8.197
angles (deg): 114.02 114.02 32.82
Fractional coordinates of all 7 atoms:
Hf (0.000, 0.000, 0.000)
Hf (0.114, 0.114, 0.444)
Hf (0.886, 0.886, 0.556)
Zr (0.343, 0.343, 0.183)
Zr (0.657, 0.657, 0.817)
Ni (0.338, 0.338, 0.769)
Ni (0.662, 0.662, 0.231)

Let's list calculated volume in order: 34.70, 58.84, 14.19, 25.47, 24.86, 10.34, 11.70, 26.98, 30.64, 23.32, 15.00, 19.36 Å³ per atom.